[1]
The following is a GGA-PBE calculation of a relaxed structure of Sc8W, from Alexandria via LeMat-Bulk.

a = 9.454 Å, b = 9.454 Å, c = 4.585 Å
α = 90.00°, β = 90.00°, γ = 90.00°
Space group I4/mmm (No. 139)
Asymmetric unit:
Sc 0.000 0.319 0.000 x8
Sc 0.156 0.156 0.500 x8
W 0.000 0.000 0.000 x2

## Properties
DFT total energy = -125.003 eV for the cell shown
DOS(E_F) = 1.446 states/eV/atom
Energy of formation = 1.10 eV/f.u.



[2]
The following is a GGA-PBE calculation of a relaxed structure of ScW, from Alexandria via LeMat-Bulk.

a = 5.876 Å, b = 7.282 Å, c = 18.818 Å
α = 90.00°, β = 90.00°, γ = 90.00°
Space group Fddd (No. 70, origin choice 2)
Asymmetric unit:
Sc 0.124 0.375 0.375 x16
W 0.125 0.125 0.266 x16

## Properties
DFT total energy = -262.761 eV for the cell shown
DOS(E_F) = 1.459 states/eV/atom
Energy of formation = 2.86 eV/f.u.



[3]
The following is a GGA-PBE calculation of a relaxed structure of ScW, from Alexandria via LeMat-Bulk.

a = 5.537 Å, b = 5.537 Å, c = 5.563 Å
α = 90.00°, β = 90.00°, γ = 90.00°
Space group P4_2/mnm (No. 136)
Asymmetric unit:
Sc 0.184 0.184 0.000 x4
W 0.156 0.156 0.500 x4

## Properties
DFT total energy = -67.856 eV for the cell shown
DOS(E_F) = 1.586 states/eV/atom
Energy of formation = 2.32 eV/f.u.



[4]
The following is a GGA-PBE calculation of a relaxed structure of Sc2W, from Alexandria via LeMat-Bulk.

a = 3.0352 Å, b = 3.0352 Å, c = 7.6312 Å
α = 90.00°, β = 90.00°, γ = 120.00°
Space group P-3m1 (No. 164)
Asymmetric unit:
Sc 0.3333 0.6667 0.1905 x2
W 0.0000 0.0000 0.5000 x1

## Properties
DFT total energy = -24.531 eV for the cell shown
DOS(E_F) = 1.566 states/eV/atom
Energy of formation = 1.09 eV/f.u.



[5]
The following is a GGA-PBE calculation of a relaxed structure of ScW3, from Alexandria via LeMat-Bulk.

a = 9.1823 Å, b = 9.1823 Å, c = 2.7728 Å
α = 90.00°, β = 90.00°, γ = 120.00°
Space group R-3m (No. 166, hexagonal axes)
Asymmetric unit:
Sc 0.0000 0.0000 0.0000 x3
W 0.0000 0.5000 0.0000 x9

## Properties
DFT total energy = -133.433 eV for the cell shown
DOS(E_F) = 1.030 states/eV/atom
Energy of formation = 0.71 eV/f.u.



[6]
The following is a GGA-PBE calculation of a relaxed structure of Sc5W, from Alexandria via LeMat-Bulk.

a = 4.575 Å, b = 12.592 Å, c = 4.610 Å
α = 90.00°, β = 90.00°, γ = 90.00°
Space group Cmmm (No. 65)
Asymmetric unit:
Sc 0.000 0.000 0.000 x2
Sc 0.000 0.151 0.500 x4
Sc 0.000 0.347 0.000 x4
W 0.000 0.500 0.500 x2

## Properties
DFT total energy = -87.263 eV for the cell shown
DOS(E_F) = 1.476 states/eV/atom
Energy of formation = 0.98 eV/f.u.



[7]
The following is a GGA-PBE calculation of a relaxed structure of ScW, from Alexandria via LeMat-Bulk.

a = 2.9247 Å, b = 2.9247 Å, c = 9.9880 Å
α = 90.00°, β = 90.00°, γ = 120.00°
Space group P6_3/mmc (No. 194)
Asymmetric unit:
Sc 0.0000 0.0000 0.0000 x2
W 0.3333 0.6667 0.2500 x2

## Properties
DFT total energy = -36.908 eV for the cell shown
DOS(E_F) = 0.864 states/eV/atom
Energy of formation = 0.83 eV/f.u.



[8]
The following is a GGA-PBE calculation of a relaxed structure of ScW2, from Alexandria via LeMat-Bulk.

a = 2.719 Å, b = 4.730 Å, c = 8.175 Å
α = 90.00°, β = 90.00°, γ = 90.00°
Space group Immm (No. 71)
Asymmetric unit:
Sc 0.000 0.000 0.000 x2
W 0.000 0.000 0.337 x4

## Properties
DFT total energy = -62.430 eV for the cell shown
DOS(E_F) = 0.690 states/eV/atom
Energy of formation = 1.02 eV/f.u.



[9]
The following is a GGA-PBE calculation of a relaxed structure of Sc2W, from Alexandria via LeMat-Bulk.

a = 2.930 Å, b = 16.561 Å, c = 4.882 Å
α = 90.00°, β = 90.00°, γ = 90.00°
Space group Cmcm (No. 63)
Asymmetric unit:
Sc 0.000 0.048 0.250 x4
Sc 0.000 0.284 0.750 x4
W 0.000 0.377 0.250 x4

## Properties
DFT total energy = -99.504 eV for the cell shown
DOS(E_F) = 0.916 states/eV/atom
Energy of formation = 0.74 eV/f.u.



[10]
The following is a GGA-PBE calculation of a relaxed structure of Sc2W, from Alexandria via LeMat-Bulk.

a = 8.3827 Å, b = 8.3827 Å, c = 2.9308 Å
α = 90.00°, β = 90.00°, γ = 120.00°
Space group P-62m (No. 189)
Asymmetric unit:
Sc 0.0000 0.3193 0.0000 x3
Sc 0.0000 0.6513 0.5000 x3
W 0.0000 0.0000 0.5000 x1
W 0.3333 0.6667 0.0000 x2

## Properties
DFT total energy = -75.129 eV for the cell shown
DOS(E_F) = 0.542 states/eV/atom
Energy of formation = 0.57 eV/f.u.



[11]
The following is a GGA-PBE calculation of a relaxed structure of ScW, from Alexandria via LeMat-Bulk.

a = 6.874 Å, b = 4.733 Å, c = 9.318 Å
α = 90.00°, β = 90.00°, γ = 90.00°
Space group Pnma (No. 62)
Asymmetric unit:
Sc 0.122 0.250 0.247 x4
Sc 0.148 0.750 0.010 x4
W 0.093 0.750 0.469 x4
W 0.131 0.250 0.766 x4

## Properties
DFT total energy = -150.769 eV for the cell shown
DOS(E_F) = 0.960 states/eV/atom
Energy of formation = 0.44 eV/f.u.



[12]
The following is a GGA-PBE calculation of a relaxed structure of ScW2, from Alexandria via LeMat-Bulk.

a = 4.691 Å, b = 13.837 Å, c = 3.232 Å
α = 90.00°, β = 90.00°, γ = 90.00°
Space group Cmcm (No. 63)
Asymmetric unit:
Sc 0.000 0.091 0.250 x4
W 0.000 0.261 0.750 x4
W 0.000 0.420 0.250 x4

## Properties
DFT total energy = -126.560 eV for the cell shown
DOS(E_F) = 1.078 states/eV/atom
Energy of formation = 0.60 eV/f.u.



[13]
The following is a GGA-PBE calculation of a relaxed structure of Sc3W5, from Alexandria via LeMat-Bulk.

a = 6.636 Å, b = 9.129 Å, c = 4.711 Å
α = 90.00°, β = 90.00°, γ = 90.00°
Space group Cmmm (No. 65)
Asymmetric unit:
Sc 0.000 0.000 0.000 x2
Sc 0.000 0.234 0.500 x4
W 0.000 0.500 0.000 x2
W 0.204 0.500 0.500 x4
W 0.250 0.250 0.000 x4

## Properties
DFT total energy = -161.419 eV for the cell shown
DOS(E_F) = 1.433 states/eV/atom
Energy of formation = 3.05 eV/f.u.



[14]
The following is a GGA-PBE calculation of a relaxed structure of Sc4W, from Alexandria via LeMat-Bulk.

a = 7.407 Å, b = 7.407 Å, c = 3.938 Å
α = 90.00°, β = 90.00°, γ = 90.00°
Space group I4/m (No. 87)
Asymmetric unit:
Sc 0.090 0.721 0.000 x8
W 0.000 0.000 0.500 x2

## Properties
DFT total energy = -74.551 eV for the cell shown
DOS(E_F) = 1.413 states/eV/atom
Energy of formation = 1.00 eV/f.u.



[15]
The following is a GGA-PBE calculation of a relaxed structure of ScW, from Alexandria via LeMat-Bulk.

a = 7.610 Å, b = 7.610 Å, c = 7.610 Å
α = 90.00°, β = 90.00°, γ = 90.00°
Space group Pm-3n (No. 223)
Asymmetric unit:
Sc 0.000 0.250 0.500 x6
W 0.000 0.500 0.250 x6

## Properties
DFT total energy = -79.656 eV for the cell shown
DOS(E_F) = 1.367 states/eV/atom
Energy of formation = 6.01 eV/f.u.



[16]
The following is a GGA-PBE calculation of a relaxed structure of ScW, from Alexandria via LeMat-Bulk.

a = 4.7751 Å, b = 4.7751 Å, c = 5.3438 Å
α = 90.00°, β = 90.00°, γ = 120.00°
Space group P6_3/mmc (No. 194)
Asymmetric unit:
Sc 0.3333 0.6667 0.2500 x2
W 0.3333 0.6667 0.7500 x2

## Properties
DFT total energy = -29.813 eV for the cell shown
DOS(E_F) = 1.690 states/eV/atom
Energy of formation = 4.38 eV/f.u.



[17]
The following is a GGA-PBE calculation of a relaxed structure of ScW7, from Alexandria via LeMat-Bulk.

a = 8.149 Å, b = 8.149 Å, c = 8.149 Å
α = 90.00°, β = 90.00°, γ = 90.00°
Space group Fm-3m (No. 225)
Asymmetric unit:
Sc 0.000 0.000 0.000 x4
W 0.000 0.000 0.500 x4
W 0.000 0.250 0.250 x24

## Properties
DFT total energy = -371.092 eV for the cell shown
DOS(E_F) = 1.351 states/eV/atom
Energy of formation = 4.23 eV/f.u.



[18]
The following is a GGA-PBE calculation of a relaxed structure of ScW, from Alexandria via LeMat-Bulk.

a = 2.839 Å, b = 11.563 Å, c = 4.605 Å
α = 90.00°, β = 90.00°, γ = 90.00°
Space group Cmcm (No. 63)
Asymmetric unit:
Sc 0.000 0.176 0.250 x4
W 0.000 0.439 0.250 x4

## Properties
DFT total energy = -74.482 eV for the cell shown
DOS(E_F) = 0.996 states/eV/atom
Energy of formation = 0.66 eV/f.u.



[19]
The following is a GGA-PBE calculation of a relaxed structure of Sc3W, from Alexandria via LeMat-Bulk.

a = 5.517 Å, b = 5.517 Å, c = 5.517 Å
α = 90.00°, β = 90.00°, γ = 90.00°
Space group Pm-3n (No. 223)
Asymmetric unit:
Sc 0.000 0.250 0.500 x6
W 0.000 0.000 0.000 x2

## Properties
DFT total energy = -60.707 eV for the cell shown
DOS(E_F) = 1.858 states/eV/atom
Energy of formation = 1.59 eV/f.u.



[20]
The following is a GGA-PBE calculation of a relaxed structure of Sc3W, from Alexandria via LeMat-Bulk.

a = 3.0804 Å, b = 3.0804 Å, c = 30.8788 Å
α = 90.00°, β = 90.00°, γ = 120.00°
Space group R-3m (No. 166, hexagonal axes)
Asymmetric unit:
Sc 0.0000 0.0000 0.0000 x3
Sc 0.0000 0.0000 0.2424 x6
W 0.0000 0.0000 0.5000 x3

## Properties
DFT total energy = -92.147 eV for the cell shown
DOS(E_F) = 1.737 states/eV/atom
Energy of formation = 1.23 eV/f.u.



[21]
The following is a GGA-PBE calculation of a relaxed structure of ScW3, from Alexandria via LeMat-Bulk.

a = 3.250 Å, b = 4.531 Å, c = 9.288 Å
α = 90.00°, β = 90.00°, γ = 90.00°
Space group Cmmm (No. 65)
Asymmetric unit:
Sc 0.000 0.000 0.000 x2
W 0.000 0.000 0.500 x2
W 0.000 0.500 0.263 x4

## Properties
DFT total energy = -89.166 eV for the cell shown
DOS(E_F) = 0.866 states/eV/atom
Energy of formation = 0.61 eV/f.u.



[22]
The following is a GGA-PBE calculation of a relaxed structure of ScW, from Alexandria via LeMat-Bulk.

a = 2.9419 Å, b = 2.9419 Å, c = 14.8081 Å
α = 90.00°, β = 90.00°, γ = 120.00°
Space group R-3m (No. 166, hexagonal axes)
Asymmetric unit:
Sc 0.0000 0.0000 0.0000 x3
W 0.0000 0.0000 0.5000 x3

## Properties
DFT total energy = -55.305 eV for the cell shown
DOS(E_F) = 1.083 states/eV/atom
Energy of formation = 0.85 eV/f.u.



[23]
The following is a GGA-PBE calculation of a relaxed structure of Sc3W, from Alexandria via LeMat-Bulk.

a = 6.2200 Å, b = 6.2200 Å, c = 4.9299 Å
α = 90.00°, β = 90.00°, γ = 120.00°
Space group P6_3/mmc (No. 194)
Asymmetric unit:
Sc 0.1702 0.3404 0.2500 x6
W 0.3333 0.6667 0.7500 x2

## Properties
DFT total energy = -62.394 eV for the cell shown
DOS(E_F) = 0.585 states/eV/atom
Energy of formation = 0.75 eV/f.u.



[24]
The following is a GGA-PBE calculation of a relaxed structure of Sc3W, from Alexandria via LeMat-Bulk.

a = 5.168 Å, b = 5.168 Å, c = 5.168 Å
α = 90.00°, β = 90.00°, γ = 90.00°
Space group Pm-3m (No. 221)
Asymmetric unit:
Sc 0.000 0.000 0.500 x3
W 0.000 0.000 0.000 x1

## Properties
DFT total energy = -27.838 eV for the cell shown
DOS(E_F) = 1.374 states/eV/atom
Energy of formation = 4.11 eV/f.u.



[25]
The following is a GGA-PBE calculation of a relaxed structure of Sc3W, from Alexandria via LeMat-Bulk.

a = 2.967 Å, b = 4.538 Å, c = 6.176 Å
α = 90.00°, β = 90.00°, γ = 90.00°
Space group Pmmm (No. 47)
Asymmetric unit:
Sc 0.000 0.000 0.000 x1
Sc 0.500 0.500 0.273 x2
W 0.000 0.000 0.500 x1

## Properties
DFT total energy = -30.942 eV for the cell shown
DOS(E_F) = 1.278 states/eV/atom
Energy of formation = 1.01 eV/f.u.



[26]
The following is a GGA-PBE calculation of a relaxed structure of ScW, from Alexandria via LeMat-Bulk.

a = 2.788 Å, b = 2.788 Å, c = 9.741 Å
α = 90.00°, β = 90.00°, γ = 90.00°
Space group P4/nmm (No. 129, origin choice 2)
Asymmetric unit:
Sc 0.250 0.250 0.149 x2
W 0.250 0.250 0.618 x2

## Properties
DFT total energy = -37.235 eV for the cell shown
DOS(E_F) = 0.648 states/eV/atom
Energy of formation = 0.67 eV/f.u.